(1)
GaSe | GGA-PBEsol | optimized geometry

abc: 8.374 8.374 8.374
angles: 25.85 25.85 25.85
Element x y z (fractional)
Ga 0.000 0.000 0.000
Ga 0.100 0.100 0.100
Se 0.618 0.618 0.618
Se 0.815 0.815 0.815

## Properties
**Formation energy without anion corrections**: -0.561 eV per atom


(2)
GaSe | GGA-PBEsol | optimized geometry

abc: 3.746 3.746 16.171
angles: 90.00 90.00 120.00
Element x y z (fractional)
Ga 0.000 0.000 0.075
Ga 0.000 0.000 0.925
Ga 0.333 0.667 0.425
Ga 0.333 0.667 0.575
Se 0.333 0.667 0.148
Se 0.333 0.667 0.852
Se 0.667 0.333 0.352
Se 0.667 0.333 0.648

## Properties
**Formation energy without anion corrections**: -0.561 eV per atom


(3)
GaSe | GGA-PBEsol | optimized geometry

abc: 3.722 3.722 15.226
angles: 90.00 90.00 120.00
Element x y z (fractional)
Ga 0.333 0.667 0.069
Ga 0.333 0.667 0.431
Ga 0.667 0.333 0.569
Ga 0.667 0.333 0.931
Se 0.333 0.667 0.657
Se 0.333 0.667 0.843
Se 0.667 0.333 0.157
Se 0.667 0.333 0.343

## Properties
**Formation energy without anion corrections**: -0.195 eV per atom


(4)
GaSe | GGA-PBEsol | optimized geometry

abc: 3.746 3.746 32.380
angles: 90.00 90.00 120.00
Element x y z (fractional)
Ga 0.000 0.000 0.000
Ga 0.000 0.000 0.075
Ga 0.000 0.000 0.500
Ga 0.000 0.000 0.575
Ga 0.333 0.667 0.250
Ga 0.333 0.667 0.325
Ga 0.667 0.333 0.750
Ga 0.667 0.333 0.825
Se 0.000 0.000 0.214
Se 0.000 0.000 0.361
Se 0.000 0.000 0.714
Se 0.000 0.000 0.861
Se 0.333 0.667 0.111
Se 0.333 0.667 0.964
Se 0.667 0.333 0.464
Se 0.667 0.333 0.611

## Properties
**Formation energy without anion corrections**: -0.561 eV per atom


(5)
GaSe | GGA-PBEsol | optimized geometry

abc: 3.745 3.745 16.228
angles: 90.00 90.00 120.00
Element x y z (fractional)
Ga 0.333 0.667 0.175
Ga 0.333 0.667 0.325
Ga 0.667 0.333 0.675
Ga 0.667 0.333 0.825
Se 0.333 0.667 0.603
Se 0.333 0.667 0.897
Se 0.667 0.333 0.103
Se 0.667 0.333 0.397

## Properties
**Formation energy without anion corrections**: -0.561 eV per atom


(6)
GaSiSe3 | GGA-PBEsol | optimized geometry

abc: 4.856 4.856 4.856
angles: 90.00 90.00 90.00
Element x y z (fractional)
Ga 0.000 0.000 0.000
Si 0.500 0.500 0.500
Se 0.000 0.000 0.500
Se 0.000 0.500 0.000
Se 0.500 0.000 0.000

## Properties
**Formation energy without anion corrections**: 0.466 eV per atom


(7)
GaSi2Se | GGA-PBEsol | optimized geometry

abc: 4.571 4.571 4.571
angles: 60.00 60.00 60.00
Element x y z (fractional)
Ga 0.000 0.000 0.000
Si 0.250 0.250 0.250
Si 0.750 0.750 0.750
Se 0.500 0.500 0.500

## Properties
**Formation energy without anion corrections**: 0.409 eV per atom


(8)
Sm9Ga5Se21 | GGA-PBEsol | optimized geometry

abc: 11.941 11.941 11.941
angles: 94.49 94.49 94.49
Element x y z (fractional)
Sm 0.010 0.803 0.634
Sm 0.019 0.179 0.801
Sm 0.119 0.339 0.495
Sm 0.132 0.985 0.356
Sm 0.179 0.801 0.019
Sm 0.320 0.698 0.478
Sm 0.339 0.495 0.119
Sm 0.356 0.132 0.985
Sm 0.458 0.674 0.831
Sm 0.478 0.320 0.698
Sm 0.495 0.119 0.339
Sm 0.634 0.010 0.803
Sm 0.674 0.831 0.458
Sm 0.698 0.478 0.320
Sm 0.801 0.019 0.179
Sm 0.803 0.634 0.010
Sm 0.831 0.458 0.674
Sm 0.985 0.356 0.132
Ga 0.097 0.097 0.097
Ga 0.126 0.470 0.793
Ga 0.292 0.965 0.632
Ga 0.392 0.392 0.392
Ga 0.470 0.793 0.126
Ga 0.595 0.595 0.595
Ga 0.632 0.292 0.965
Ga 0.793 0.126 0.470
Ga 0.894 0.894 0.894
Ga 0.965 0.632 0.292
Se 0.006 0.902 0.142
Se 0.034 0.185 0.290
Se 0.036 0.597 0.112
Se 0.061 0.546 0.623
Se 0.091 0.755 0.418
Se 0.112 0.036 0.597
Se 0.142 0.006 0.902
Se 0.185 0.290 0.034
Se 0.212 0.305 0.725
Se 0.228 0.483 0.338
Se 0.249 0.784 0.699
Se 0.253 0.591 0.920
Se 0.290 0.034 0.185
Se 0.305 0.725 0.212
Se 0.338 0.228 0.483
Se 0.358 0.934 0.447
Se 0.389 0.526 0.628
Se 0.409 0.879 0.957
Se 0.418 0.091 0.755
Se 0.447 0.358 0.934
Se 0.483 0.338 0.228
Se 0.526 0.628 0.389
Se 0.546 0.623 0.061
Se 0.547 0.802 0.655
Se 0.591 0.920 0.253
Se 0.597 0.112 0.036
Se 0.623 0.061 0.546
Se 0.628 0.389 0.526
Se 0.655 0.547 0.802
Se 0.699 0.249 0.784
Se 0.720 0.858 0.976
Se 0.725 0.212 0.305
Se 0.755 0.418 0.091
Se 0.784 0.699 0.249
Se 0.802 0.655 0.547
Se 0.858 0.976 0.720
Se 0.879 0.957 0.409
Se 0.902 0.142 0.006
Se 0.920 0.253 0.591
Se 0.934 0.447 0.358
Se 0.957 0.409 0.879
Se 0.976 0.720 0.858

## Properties
**Formation energy without anion corrections**: -1.416 eV per atom